No. 1
# Ca3ScTe PBE relaxed
# Symmetry = No. 221
data_Ca3ScTe
_chemical_formula_sum 'Ca3 Sc1 Te1'
_symmetry_space_group_name_H-M 'P 1'
_symmetry_Int_Tables_number 1
_symmetry_space_group_name_Hall 'P 1'
_cell_length_a 5.895
_cell_length_b 5.895
_cell_length_c 5.895
_cell_angle_alpha 90.00
_cell_angle_beta 90.00
_cell_angle_gamma 90.00
loop_
_atom_site_label
_atom_site_fract_x
_atom_site_fract_y
_atom_site_fract_z
Ca1 0.500 0.000 0.000
Ca2 0.000 0.000 0.500
Ca3 0.000 0.500 0.000
Te1 0.000 0.000 0.000
Sc1 0.500 0.500 0.500

No. 2
# SrY2Sc2 PBE relaxed
# Formation energy = 0.15 eV/atom
# Symmetry = No. 127
data_SrY2Sc2
_chemical_formula_sum 'Sr2 Y4 Sc4'
_symmetry_space_group_name_H-M 'P 1'
_symmetry_Int_Tables_number 1
_symmetry_space_group_name_Hall 'P 1'
_cell_length_a 9.423
_cell_length_b 9.423
_cell_length_c 3.619
_cell_angle_alpha 90.00
_cell_angle_beta 90.00
_cell_angle_gamma 90.00
loop_
_atom_site_label
_atom_site_fract_x
_atom_site_fract_y
_atom_site_fract_z
Y1 0.626 0.126 0.000
Y2 0.874 0.626 0.000
Y3 0.126 0.374 0.000
Y4 0.374 0.874 0.000
Sc1 0.834 0.334 0.500
Sc2 0.334 0.166 0.500
Sc3 0.166 0.666 0.500
Sc4 0.666 0.834 0.500
Sr1 0.000 0.000 0.000
Sr2 0.500 0.500 0.000

no.,total magnetic moment (μB per cell),E above lowest polymorph (meV per atom)
1,0.97,0
2,0.00,11